This record from Alexandria via LeMat-Bulk describes a relaxed KLiZnF6 crystal. The functional is PBE-GGA.

Lattice parameters (Å, degrees): 5.2674 5.2674 5.7315 90.00 90.00 120.00
Space group P312 (No. 149)
Inequivalent atoms, fractional coordinates:
1 K 0.0000 0.0000 0.0000 [1 per cell]
2 Li 0.3333 0.6667 0.5000 [1 per cell]
3 Zn 0.6667 0.3333 0.5000 [1 per cell]
4 F 0.3881 0.0146 0.6922 [6 per cell]

crystal system = trigonal
ΔE_f (raw) = -196 kJ/mol of atoms
N(E_F) = 3.223 states/eV/cell